# 1
This record from the Alexandria database describes a geometry-optimized Ba3ZnCu structure. The functional is PBE.

Summary:
D(E_F) in states/eV/f.u.: 4.394
SG: Pm-3m
Formation enthalpy at 0 K in meV/atom: 164
E_tot in eV per cell: -10.32

Unit cell a=6.2128 b=6.2128 c=6.2128 alpha=90.00 beta=90.00 gamma=90.00
Closest atoms and distances in Å follow each position.
Positions (direct):
1 Ba 0.0000 0.0000 0.5000  2 Cu 3.11
2 Ba 0.0000 0.5000 0.0000  2 Cu 3.11
3 Ba 0.5000 0.0000 0.0000  2 Cu 3.11
4 Zn 0.5000 0.5000 0.5000  12 Ba 4.39
5 Cu 0.0000 0.0000 0.0000  6 Ba 3.11

---

# 2
This record from the Alexandria database describes a geometry-optimized Ba2Zn2Cu structure. The functional is PBE.

Summary:
D(E_F) in states/eV/f.u.: 5.511
SG: R-3m
Formation enthalpy at 0 K in meV/atom: -99
E_tot in eV per cell: -32.95

Unit cell a=4.3873 b=4.3873 c=29.6329 alpha=90.00 beta=90.00 gamma=120.00
Closest atoms and distances in Å follow each position.
Positions (direct):
1 Ba 0.0000 0.0000 0.0716  4 Zn 3.28-3.46
2 Ba 0.0000 0.0000 0.9284  4 Zn 3.28-3.46
3 Ba 0.3333 0.6667 0.5951  4 Zn 3.28-3.46
4 Ba 0.3333 0.6667 0.7382  4 Zn 3.28-3.46
5 Ba 0.6667 0.3333 0.2618  4 Zn 3.28-3.46
6 Ba 0.6667 0.3333 0.4049  4 Zn 3.28-3.46
7 Zn 0.0000 0.0000 0.1824  3 Cu 2.58, 3 Zn 2.70
8 Zn 0.0000 0.0000 0.8176  3 Cu 2.58, 3 Zn 2.70
9 Zn 0.3333 0.6667 0.4842  3 Cu 2.58, 3 Zn 2.70
10 Zn 0.3333 0.6667 0.8491  3 Cu 2.58, 3 Zn 2.70
11 Zn 0.6667 0.3333 0.1509  3 Cu 2.58, 3 Zn 2.70
12 Zn 0.6667 0.3333 0.5158  3 Cu 2.58, 3 Zn 2.70
13 Cu 0.0000 0.0000 0.5000  6 Zn 2.58
14 Cu 0.3333 0.6667 0.1667  6 Zn 2.58
15 Cu 0.6667 0.3333 0.8333  6 Zn 2.58

---

# 3
This record from the Alexandria database describes a geometry-optimized BaZnCu2 structure. The functional is PBE.

Summary:
D(E_F) in states/eV/f.u.: 1.545
SG: P2/m
Formation enthalpy at 0 K in meV/atom: 113
E_tot in eV per cell: -10.94

Unit cell a=3.7357 b=4.2813 c=6.0502 alpha=90.00 beta=99.28 gamma=90.00
Closest atoms and distances in Å follow each position.
Positions (direct):
1 Ba 0.0000 0.0000 0.0000  2 Zn 3.29, 4 Cu 3.38
2 Zn 0.5000 0.0000 0.5000  4 Cu 2.46
3 Cu 0.2880 0.5000 0.6340  2 Cu 2.44-2.48, 2 Zn 2.46
4 Cu 0.7120 0.5000 0.3660  2 Cu 2.44-2.48, 2 Zn 2.46

---

# 4
This record from the Alexandria database describes a geometry-optimized Ba3Zn3Cu2 structure. The functional is PBE.

Summary:
D(E_F) in states/eV/f.u.: 6.483
SG: Pnma
Formation enthalpy at 0 K in meV/atom: -96
E_tot in eV per cell: -74.19

Unit cell a=8.6377 b=16.5255 c=6.3623 alpha=90.00 beta=90.00 gamma=90.00
Closest atoms and distances in Å follow each position.
Positions (direct):
1 Ba 0.0462 0.1023 0.1348  4 Cu 3.38-3.58, 7 Zn 3.38-3.74
2 Ba 0.0462 0.3977 0.1348  4 Cu 3.38-3.58, 7 Zn 3.38-3.74
3 Ba 0.1830 0.2500 0.6299  5 Zn 3.28-3.61, 2 Cu 3.54
4 Ba 0.3170 0.7500 0.1299  5 Zn 3.28-3.61, 2 Cu 3.54
5 Ba 0.4538 0.6023 0.6348  4 Cu 3.38-3.58, 7 Zn 3.38-3.74
6 Ba 0.4538 0.8977 0.6348  4 Cu 3.38-3.58, 7 Zn 3.38-3.74
7 Ba 0.5462 0.1023 0.3652  4 Cu 3.38-3.58, 7 Zn 3.38-3.74
8 Ba 0.5462 0.3977 0.3652  4 Cu 3.38-3.58, 7 Zn 3.38-3.74
9 Ba 0.6830 0.2500 0.8701  5 Zn 3.28-3.61, 2 Cu 3.54
10 Ba 0.8170 0.7500 0.3701  5 Zn 3.28-3.61, 2 Cu 3.54
11 Ba 0.9538 0.6023 0.8652  4 Cu 3.38-3.58, 7 Zn 3.38-3.74
12 Ba 0.9538 0.8977 0.8652  4 Cu 3.38-3.58, 7 Zn 3.38-3.74
13 Zn 0.1648 0.7500 0.6018  2 Cu 3.03, 2 Ba 3.28-3.35
14 Zn 0.1736 0.0403 0.6177  3 Cu 2.61-2.70
15 Zn 0.1736 0.4597 0.6177  3 Cu 2.61-2.70
16 Zn 0.3264 0.5403 0.1177  3 Cu 2.61-2.70
17 Zn 0.3264 0.9597 0.1177  3 Cu 2.61-2.70
18 Zn 0.3352 0.2500 0.1018  2 Cu 3.03, 2 Ba 3.28-3.35
19 Zn 0.6648 0.7500 0.8982  2 Cu 3.03, 2 Ba 3.28-3.35
20 Zn 0.6736 0.0403 0.8823  3 Cu 2.61-2.70
21 Zn 0.6736 0.4597 0.8823  3 Cu 2.61-2.70
22 Zn 0.8264 0.5403 0.3823  3 Cu 2.61-2.70
23 Zn 0.8264 0.9597 0.3823  3 Cu 2.61-2.70
24 Zn 0.8352 0.2500 0.3982  2 Cu 3.03, 2 Ba 3.28-3.35
25 Cu 0.1127 0.5903 0.3774  3 Zn 2.61-2.70
26 Cu 0.1127 0.9097 0.3774  3 Zn 2.61-2.70
27 Cu 0.3873 0.0903 0.8774  3 Zn 2.61-2.70
28 Cu 0.3873 0.4097 0.8774  3 Zn 2.61-2.70
29 Cu 0.6127 0.5903 0.1226  3 Zn 2.61-2.70
30 Cu 0.6127 0.9097 0.1226  3 Zn 2.61-2.70
31 Cu 0.8873 0.0903 0.6226  3 Zn 2.61-2.70
32 Cu 0.8873 0.4097 0.6226  3 Zn 2.61-2.70

---

# 5
This record from the Alexandria database describes a geometry-optimized Ba2Zn2Cu structure. The functional is PBE.

Summary:
D(E_F) in states/eV/f.u.: 4.754
SG: P4/mbm
Formation enthalpy at 0 K in meV/atom: 46
E_tot in eV per cell: -20.52

Unit cell a=7.7579 b=7.7579 c=5.0098 alpha=90.00 beta=90.00 gamma=90.00
Closest atoms and distances in Å follow each position.
Positions (direct):
1 Ba 0.1883 0.3117 0.0000  6 Zn 3.29-3.49
2 Ba 0.3117 0.8117 0.0000  6 Zn 3.29-3.49
3 Ba 0.6883 0.1883 0.0000  6 Zn 3.29-3.49
4 Ba 0.8117 0.6883 0.0000  6 Zn 3.29-3.49
5 Zn 0.1174 0.6174 0.5000  1 Zn 2.58
6 Zn 0.3826 0.1174 0.5000  1 Zn 2.58
7 Zn 0.6174 0.8826 0.5000  1 Zn 2.58
8 Zn 0.8826 0.3826 0.5000  1 Zn 2.58
9 Cu 0.0000 0.0000 0.5000  4 Zn 3.10
10 Cu 0.5000 0.5000 0.5000  4 Zn 3.10

---

# 6
This record from the Alexandria database describes a geometry-optimized BaZnCu structure. The functional is PBE.

Summary:
D(E_F) in states/eV/f.u.: 2.100
SG: I4mm
Formation enthalpy at 0 K in meV/atom: 47
E_tot in eV per cell: -14.30

Unit cell a=3.6172 b=3.6172 c=11.2516 alpha=90.00 beta=90.00 gamma=90.00
Closest atoms and distances in Å follow each position.
Positions (direct):
1 Ba 0.0000 0.0000 0.0000  5 Cu 3.23-3.50, 5 Zn 3.23-3.50, 4 Ba 3.62
2 Ba 0.5000 0.5000 0.5000  5 Cu 3.23-3.50, 5 Zn 3.23-3.50, 4 Ba 3.62
3 Zn 0.0000 0.0000 0.2875  4 Cu 2.69
4 Zn 0.5000 0.5000 0.7875  4 Cu 2.69
5 Cu 0.0000 0.0000 0.7127  4 Zn 2.69
6 Cu 0.5000 0.5000 0.2127  4 Zn 2.69

---

# 7
This record from the Alexandria database describes a geometry-optimized BaZnCu2 structure. The functional is PBE.

Summary:
D(E_F) in states/eV/f.u.: 1.018
SG: I-4m2
Formation enthalpy at 0 K in meV/atom: 261
E_tot in eV per cell: -20.69

Unit cell a=5.0942 b=5.0942 c=7.0822 alpha=90.00 beta=90.00 gamma=90.00
Closest atoms and distances in Å follow each position.
Positions (direct):
1 Ba 0.0000 0.0000 0.0000  4 Cu 3.10, 4 Zn 3.10
2 Ba 0.5000 0.5000 0.5000  4 Cu 3.10, 4 Zn 3.10
3 Zn 0.0000 0.5000 0.2500  4 Ba 3.10, 4 Cu 3.10
4 Zn 0.5000 0.0000 0.7500  4 Ba 3.10, 4 Cu 3.10
5 Cu 0.0000 0.0000 0.5000  4 Cu 3.10, 4 Zn 3.10
6 Cu 0.0000 0.5000 0.7500  4 Ba 3.10, 4 Cu 3.10
7 Cu 0.5000 0.0000 0.2500  4 Ba 3.10, 4 Cu 3.10
8 Cu 0.5000 0.5000 0.0000  4 Cu 3.10, 4 Zn 3.10

---

# 8
This record from the Alexandria database describes a geometry-optimized BaZn3Cu3 structure. The functional is PBE.

Summary:
D(E_F) in states/eV/f.u.: 3.692
SG: Pm-3n
Formation enthalpy at 0 K in meV/atom: 107
E_tot in eV per cell: -34.57

Unit cell a=6.7928 b=6.7928 c=6.7928 alpha=90.00 beta=90.00 gamma=90.00
Closest atoms and distances in Å follow each position.
Positions (direct):
1 Ba 0.0000 0.0000 0.0000  12 Cu 3.80, 12 Zn 3.80
2 Ba 0.5000 0.5000 0.5000  12 Cu 3.80, 12 Zn 3.80
3 Zn 0.0000 0.2500 0.5000  4 Cu 2.40
4 Zn 0.0000 0.7500 0.5000  4 Cu 2.40
5 Zn 0.2500 0.5000 0.0000  4 Cu 2.40
6 Zn 0.5000 0.0000 0.2500  4 Cu 2.40
7 Zn 0.5000 0.0000 0.7500  4 Cu 2.40
8 Zn 0.7500 0.5000 0.0000  4 Cu 2.40
9 Cu 0.0000 0.5000 0.2500  4 Zn 2.40
10 Cu 0.0000 0.5000 0.7500  4 Zn 2.40
11 Cu 0.2500 0.0000 0.5000  4 Zn 2.40
12 Cu 0.5000 0.2500 0.0000  4 Zn 2.40
13 Cu 0.5000 0.7500 0.0000  4 Zn 2.40
14 Cu 0.7500 0.0000 0.5000  4 Zn 2.40

---

# 9
This record from the Alexandria database describes a geometry-optimized BaZnCu structure. The functional is PBE.

Summary:
D(E_F) in states/eV/f.u.: 2.595
SG: F-43m
Formation enthalpy at 0 K in meV/atom: 216
E_tot in eV per cell: -26.58

Unit cell a=7.1558 b=7.1558 c=7.1558 alpha=90.00 beta=90.00 gamma=90.00
Closest atoms and distances in Å follow each position.
Positions (direct):
1 Ba 0.0000 0.0000 0.0000  4 Zn 3.10
2 Ba 0.0000 0.5000 0.5000  4 Zn 3.10
3 Ba 0.5000 0.0000 0.5000  4 Zn 3.10
4 Ba 0.5000 0.5000 0.0000  4 Zn 3.10
5 Zn 0.2500 0.2500 0.7500  4 Ba 3.10, 4 Cu 3.10
6 Zn 0.2500 0.7500 0.2500  4 Ba 3.10, 4 Cu 3.10
7 Zn 0.7500 0.2500 0.2500  4 Ba 3.10, 4 Cu 3.10
8 Zn 0.7500 0.7500 0.7500  4 Ba 3.10, 4 Cu 3.10
9 Cu 0.0000 0.0000 0.5000  4 Zn 3.10
10 Cu 0.0000 0.5000 0.0000  4 Zn 3.10
11 Cu 0.5000 0.0000 0.0000  4 Zn 3.10
12 Cu 0.5000 0.5000 0.5000  4 Zn 3.10

---

# 10
This record from the Alexandria database describes a geometry-optimized Ba2ZnCu2 structure. The functional is PBE.

Summary:
D(E_F) in states/eV/f.u.: 4.429
SG: R-3m
Formation enthalpy at 0 K in meV/atom: -78
E_tot in eV per cell: -41.10

Unit cell a=4.3679 b=4.3679 c=29.0994 alpha=90.00 beta=90.00 gamma=120.00
Closest atoms and distances in Å follow each position.
Positions (direct):
1 Ba 0.0000 0.0000 0.0735  4 Cu 3.12-3.41
2 Ba 0.0000 0.0000 0.9265  4 Cu 3.12-3.41
3 Ba 0.3333 0.6667 0.5931  4 Cu 3.12-3.41
4 Ba 0.3333 0.6667 0.7402  4 Cu 3.12-3.41
5 Ba 0.6667 0.3333 0.2598  4 Cu 3.12-3.41
6 Ba 0.6667 0.3333 0.4069  4 Cu 3.12-3.41
7 Zn 0.0000 0.0000 0.5000  6 Cu 2.55
8 Zn 0.3333 0.6667 0.1667  6 Cu 2.55
9 Zn 0.6667 0.3333 0.8333  6 Cu 2.55
10 Cu 0.0000 0.0000 0.1808  3 Zn 2.55, 3 Cu 2.65
11 Cu 0.0000 0.0000 0.8192  3 Zn 2.55, 3 Cu 2.65
12 Cu 0.3333 0.6667 0.4859  3 Zn 2.55, 3 Cu 2.65
13 Cu 0.3333 0.6667 0.8474  3 Zn 2.55, 3 Cu 2.65
14 Cu 0.6667 0.3333 0.1526  3 Zn 2.55, 3 Cu 2.65
15 Cu 0.6667 0.3333 0.5141  3 Zn 2.55, 3 Cu 2.65

---

Q: Among the records above, which one has the highest D(E_F)?
A: Ba3Zn3Cu2

---

Q: Number 7 is which compound?
A: BaZnCu2

---

Q: Number 3 is which compound?
A: BaZnCu2